First-principles (PBE) data for a relaxed structure of Zr2Cr4C, as listed in the Alexandria database.

POSCAR file:
```
Zr2Cr4C
1.0
3.782 0.000 0.000
0.000 3.782 0.000
1.891 1.891 7.391
Cr C Zr
4 1 2
Cartesian
3.782 3.782 1.897
1.891 1.891 5.494
0.000 1.891 0.000
1.891 0.000 0.000
0.000 0.000 0.000
3.782 3.782 4.823
1.891 1.891 2.568
```

Computed properties:
VASP energy: -62.8 eV/f.u.
calculated formation energy: 0.288 eV per atom